{
  "formula": "In8Ga3Hg",
  "functional": "GGA-PBE",
  "state": "optimized geometry",
  "e_tot_ev_per_cell": -30.82,
  "magmom_total_mub_per_cell": 0.000,
  "e_form_kcal_per_mol_atoms": 0.9,
  "space_group": "No. 12",
  "lattice_angstrom": [[4.832, -4.921, 0.000], [4.832, 4.921, 0.000], [-4.112, 0.000, 6.812]],
  "species": ["In", "In", "In", "In", "In", "In", "In", "In", "Ga", "Ga", "Ga", "Hg"],
  "frac_coords": [[0.111, 0.619, 0.251], [0.129, 0.129, 0.244], [0.364, 0.364, 0.762], [0.381, 0.889, 0.749], [0.619, 0.111, 0.251], [0.636, 0.636, 0.238], [0.871, 0.871, 0.756], [0.889, 0.381, 0.749], [0.000, 0.000, 0.500], [0.248, 0.752, 0.000], [0.752, 0.248, 0.000], [0.500, 0.500, 0.500]]
}

***

{
  "formula": "In3GaHg5",
  "functional": "GGA-PBE",
  "state": "optimized geometry",
  "e_tot_ev_per_cell": -12.49,
  "relative_energy_ev_per_atom": 0.000,
  "magmom_total_mub_per_cell": 0.000,
  "e_form_kcal_per_mol_atoms": 0.7,
  "space_group": "No. 189",
  "lattice_angstrom": [[8.879, 0.000, 0.000], [-4.440, 7.690, 0.000], [0.000, 0.000, 3.398]],
  "species": ["In", "In", "In", "Ga", "Hg", "Hg", "Hg", "Hg", "Hg"],
  "frac_coords": [[0.000, 0.383, 0.000], [0.383, 0.000, 0.000], [0.617, 0.617, 0.000], [0.000, 0.000, 0.000], [0.000, 0.722, 0.500], [0.278, 0.278, 0.500], [0.333, 0.667, 0.500], [0.667, 0.333, 0.500], [0.722, 0.000, 0.500]]
}